## A
A plane-wave DFT calculation with PBE was carried out for a relaxed structure of BaCa2Pr.

It has space group Fm-3m (No. 225), with a = 8.8984 Å, b = 8.8984 Å, c = 8.8984 Å, α = 90.00°, β = 90.00° and γ = 90.00°. The asymmetric unit holds Ba at (0.0000, 0.0000, 0.0000), Ca at (0.2500, 0.2500, 0.2500) and Pr at (0.0000, 0.0000, 0.5000).

The density comes out at 3.379 Mg/m³. The crystal system is cubic.

## B
A plane-wave DFT calculation with PBE was carried out for a relaxed structure of BaCa2Pr.

It has space group R3m (No. 160, hexagonal axes), with a = 3.9319 Å, b = 3.9319 Å, c = 39.0291 Å, α = 90.00°, β = 90.00° and γ = 120.00°. The asymmetric unit holds Ba at (0.0000, 0.0000, 0.0000), Ca at (0.0000, 0.0000, 0.4223), Ca at (0.0000, 0.0000, 0.5778) and Pr at (0.0000, 0.0000, 0.1669).

The density comes out at 3.417 Mg/m³. The crystal system is trigonal.

Unit: meV/atom. Relative energies: A 24; B 0.

## A
A plane-wave DFT calculation with PBE was carried out for a relaxed structure of BaCaPr2.

It has space group P4/mmm (No. 123), with a = 4.2032 Å, b = 4.2032 Å, c = 9.6339 Å, α = 90.00°, β = 90.00° and γ = 90.00°. The asymmetric unit holds Ba at (0.0000, 0.0000, 0.0000), Ca at (0.0000, 0.0000, 0.5000) and Pr at (0.5000, 0.5000, 0.2903).

The density comes out at 4.480 Mg/m³. The crystal system is tetragonal.

## B
A plane-wave DFT calculation with PBE was carried out for a relaxed structure of BaCaPr2.

It has space group P4/mmm (No. 123), with a = 5.3100 Å, b = 5.3100 Å, c = 5.8961 Å, α = 90.00°, β = 90.00° and γ = 90.00°. The asymmetric unit holds Ba at (0.0000, 0.0000, 0.0000), Ca at (0.5000, 0.5000, 0.0000) and Pr at (0.0000, 0.5000, 0.5000).

The density comes out at 4.587 Mg/m³. The crystal system is tetragonal.

Unit: meV/atom. Relative energies: A 0; B 8.

## A
A plane-wave DFT calculation with PBE was carried out for a relaxed structure of BaCaPt3.

It has space group Pm-3m (No. 221), with a = 5.1917 Å, b = 5.1917 Å, c = 5.1917 Å, α = 90.00°, β = 90.00° and γ = 90.00°. The asymmetric unit holds Ba at (0.0000, 0.0000, 0.0000), Ca at (0.5000, 0.5000, 0.5000) and Pt at (0.0000, 0.5000, 0.5000).

The density comes out at 9.050 Mg/m³. The crystal system is cubic.

## B
A plane-wave DFT calculation with PBE was carried out for a relaxed structure of BaCaPt3.

It has space group Pm-3m (No. 221), with a = 5.4305 Å, b = 5.4305 Å, c = 5.4305 Å, α = 90.00°, β = 90.00° and γ = 90.00°. The asymmetric unit holds Ba at (0.0000, 0.0000, 0.0000), Ca at (0.5000, 0.5000, 0.5000) and Pt at (0.0000, 0.0000, 0.5000).

The density comes out at 7.908 Mg/m³. The crystal system is cubic.

Unit: meV/atom. Relative energies: A 0; B 681.

## A
A plane-wave DFT calculation with PBE was carried out for a relaxed structure of Ba2CaPt2.

It has space group I4/mmm (No. 139), with a = 4.9491 Å, b = 4.9491 Å, c = 13.4161 Å, α = 90.00°, β = 90.00° and γ = 90.00°. The asymmetric unit holds Ba at (0.0000, 0.5000, 0.2500), Ca at (0.0000, 0.0000, 0.0000) and Pt at (0.0000, 0.0000, 0.4024).

The density comes out at 7.124 Mg/m³. The crystal system is tetragonal.

## B
A plane-wave DFT calculation with PBE was carried out for a relaxed structure of Ba2CaPt2.

It has space group Immm (No. 71), with a = 4.3832 Å, b = 7.0439 Å, c = 10.2253 Å, α = 90.00°, β = 90.00° and γ = 90.00°. The asymmetric unit holds Ba at (0.0000, 0.0000, 0.1933), Ca at (0.0000, 0.5000, 0.0000) and Pt at (0.0000, 0.2914, 0.5000).

The density comes out at 7.415 Mg/m³. The crystal system is orthorhombic.

Unit: meV/atom. Relative energies: A 303; B 0.

## A
A plane-wave DFT calculation with PBE was carried out for a relaxed structure of Ba2SrCaPt.

It has space group P4/mmm (No. 123), with a = 6.2759 Å, b = 6.2759 Å, c = 6.0603 Å, α = 90.00°, β = 90.00° and γ = 90.00°. The asymmetric unit holds Ba at (0.0000, 0.5000, 0.0000), Sr at (0.0000, 0.0000, 0.5000), Ca at (0.5000, 0.5000, 0.5000) and Pt at (0.0000, 0.0000, 0.0000).

The density comes out at 4.156 Mg/m³. The crystal system is tetragonal.

## B
A plane-wave DFT calculation with PBE was carried out for a relaxed structure of Ba2SrCaPt.

It has space group P4/mmm (No. 123), with a = 6.3219 Å, b = 6.3219 Å, c = 5.8055 Å, α = 90.00°, β = 90.00° and γ = 90.00°. The asymmetric unit holds Ba at (0.0000, 0.5000, 0.0000), Sr at (0.0000, 0.0000, 0.5000), Ca at (0.5000, 0.5000, 0.5000) and Pt at (0.5000, 0.5000, 0.0000).

The density comes out at 4.276 Mg/m³. The crystal system is tetragonal.

Unit: meV/atom. Relative energies: A 20; B 0.

## A
A plane-wave DFT calculation with PBE was carried out for a relaxed structure of BaSr2CaPt.

It has space group P4/mmm (No. 123), with a = 6.0796 Å, b = 6.0796 Å, c = 5.8187 Å, α = 90.00°, β = 90.00° and γ = 90.00°. The asymmetric unit holds Ba at (0.0000, 0.0000, 0.0000), Sr at (0.0000, 0.5000, 0.5000), Ca at (0.5000, 0.5000, 0.0000) and Pt at (0.5000, 0.5000, 0.5000).

The density comes out at 4.229 Mg/m³. The crystal system is tetragonal.

## B
A plane-wave DFT calculation with PBE was carried out for a relaxed structure of BaSr2CaPt.

It has space group P4/mmm (No. 123), with a = 6.0374 Å, b = 6.0374 Å, c = 6.2351 Å, α = 90.00°, β = 90.00° and γ = 90.00°. The asymmetric unit holds Ba at (0.0000, 0.0000, 0.0000), Sr at (0.0000, 0.5000, 0.5000), Ca at (0.5000, 0.5000, 0.0000) and Pt at (0.0000, 0.0000, 0.5000).

The density comes out at 4.002 Mg/m³. The crystal system is tetragonal.

Unit: meV/atom. Relative energies: A 0; B 30.